[1]
TiCo5O12 | Alexandria | GGA+U | optimized geometry; space group = C2/m, No. 12; theoretical density = 4.10 g/cm³; DFT total energy = -6.178 eV/atom
1.0
4.953 0.000 -0.004
2.476 4.295 -0.002
-0.013 0.000 10.184
Ti Co O
1 5 12
Direct
0.000 0.000 0.000
0.500 0.000 0.500
0.833 0.333 0.500
0.167 0.667 0.500
0.333 0.333 0.000
0.667 0.667 0.000
0.834 0.000 0.592
0.166 0.000 0.408
0.655 0.000 0.096
0.345 0.000 0.904
0.001 0.345 0.096
0.655 0.345 0.904
0.345 0.655 0.096
0.999 0.655 0.904
0.833 0.667 0.409
0.500 0.333 0.409
0.500 0.667 0.591
0.167 0.333 0.591

---

[2]
Ti2CoO2 | Alexandria | GGA+U | optimized geometry; energy above the most stable polymorph in this dataset = 0.000 eV per formula unit; space group = I4/mmm, No. 139; theoretical density = 5.38 g/cm³; DFT total energy = -7.706 eV/atom
1.0
-1.329 -2.705 2.816
3.904 -0.866 1.010
1.229 0.670 4.245
Co O Ti
1 2 2
Direct
0.000 0.000 0.000
0.271 0.271 0.458
0.729 0.729 0.542
0.750 0.250 0.500
0.250 0.750 0.500

---

[3]
TiCo3O8 | Alexandria | GGA+U | optimized geometry; energy above the most stable polymorph in this dataset = 0.000 eV per formula unit; space group = P6_3mc, No. 186; theoretical density = 4.76 g/cm³; DFT total energy = -6.458 eV/atom
1.0
-3.424 -3.588 2.683
0.120 0.101 -5.637
6.478 -6.161 0.027
Ti Co O
2 6 16
Direct
0.333 0.667 0.496
0.667 0.333 0.996
0.168 0.832 0.213
0.168 0.336 0.213
0.664 0.832 0.213
0.336 0.168 0.713
0.832 0.664 0.713
0.832 0.168 0.713
0.164 0.836 0.603
0.038 0.519 0.330
0.333 0.667 0.103
0.000 0.000 0.320
0.000 0.000 0.820
0.164 0.328 0.603
0.481 0.962 0.330
0.481 0.519 0.330
0.328 0.164 0.103
0.672 0.836 0.603
0.519 0.481 0.830
0.519 0.038 0.830
0.667 0.333 0.603
0.836 0.672 0.103
0.962 0.481 0.830
0.836 0.164 0.103

---

[4]
TiCo3O8 | Alexandria | GGA+U | optimized geometry; energy above the most stable polymorph in this dataset = 0.347 eV per formula unit; space group = R3m, No. 160; theoretical density = 4.09 g/cm³; DFT total energy = -6.429 eV/atom
1.0
-3.479 0.796 -4.509
-5.645 -0.968 0.518
-3.731 4.697 0.041
Ti Co O
1 3 8
Direct
0.986 0.986 0.043
0.006 0.503 0.988
0.503 0.006 0.988
0.503 0.503 0.988
0.273 0.273 0.180
0.734 0.734 0.798
0.761 0.761 0.189
0.761 0.288 0.189
0.288 0.761 0.189
0.722 0.235 0.809
0.235 0.722 0.809
0.235 0.235 0.809